1.
The following is a DFT calculation (PBE) of an optimized crystal structure of LiAlAsPt2.

Results
Its volume is 80 Å³ per cell. Its energy of formation from the pure elements is 324 meV/atom. The value obtained for the total energy is -4.153 eV/atom.

Unit cell a=4.3338 b=4.2500 c=4.3338 alpha=90.00 beta=90.00 gamma=90.00
Closest atoms and distances in Å follow each position.
Fractional positions:
1 As 0.5000 0.5000 0.5000  8 Pt 3.03, 4 Al 3.06
2 Al 0.0000 0.5000 0.0000  2 Li 2.12
3 Pt 0.0000 0.0000 0.5000  2 Li 2.17
4 Pt 0.5000 0.0000 0.0000  2 Li 2.17
5 Li 0.0000 0.0000 0.0000  2 Al 2.12, 4 Pt 2.17

2.
The following is a DFT calculation (PBE) of an optimized crystal structure of Y4ErSc.

Results
Its volume is 366 Å³ per cell. Its energy of formation from the pure elements is 89 meV/atom. The value obtained for the total energy is -6.036 eV/atom. As for the energy above the most stable polymorph in this dataset: 46 meV/atom.

Unit cell a=9.5753 b=5.5515 c=8.8369 alpha=128.91 beta=90.00 gamma=90.00
Closest atoms and distances in Å follow each position.
Fractional positions:
1 Y 0.1523 0.7463 0.2461  5 Y 3.20-3.51, 2 Sc 3.56
2 Y 0.3477 0.2463 0.2461  5 Y 3.20-3.51, 2 Sc 3.56
3 Y 0.8183 0.7447 0.2450  4 Y 3.07-3.39
4 Y 0.3183 0.7553 0.7550  4 Y 3.07-3.39
5 Y 0.6817 0.2447 0.2450  4 Y 3.07-3.39
6 Y 0.1817 0.2553 0.7550  4 Y 3.07-3.39
7 Y 0.6523 0.7537 0.7539  5 Y 3.20-3.51, 2 Sc 3.56
8 Y 0.8477 0.2537 0.7539  5 Y 3.20-3.51, 2 Sc 3.56
9 Er 0.0000 0.5000 0.5000  2 Sc 3.44, 12 Y 3.52-3.76
10 Er 0.5000 0.0000 0.5000  2 Sc 3.44, 12 Y 3.52-3.76
11 Sc 0.5000 0.5000 0.0000  2 Er 3.44, 12 Y 3.48-3.73
12 Sc 0.0000 0.0000 0.0000  2 Er 3.44, 12 Y 3.48-3.74